# 1
CaLaCl | GGA-PBE | relaxed

The symmetry is Fmm2 (42). The calculation puts the formation energy (no corrections) at -0.96 eV/atom.

Geometry as extended XYZ:
```
3
Lattice="8.272 -0.009 0.006 7.074 3.505 0.002 1.198 -1.325 3.255" Properties=species:S:1:pos:R:3 pbc="T T T"
Ca 15.042 3.393 0.078
Cl 6.028 0.321 2.146
La 10.821 1.954 1.047
```


# 2
PaAg3Cl6F2 | GGA-PBE | relaxed

The symmetry is C2/m (12). The calculation puts the formation energy (no corrections) at -1.31 eV/atom.

Geometry as extended XYZ:
```
12
Lattice="-4.009 -5.489 -0.824 -0.946 -0.421 7.408 -2.758 6.225 -3.775" Properties=species:S:1:pos:R:3 pbc="T T T"
Pa -2.004 -2.745 -0.412
Ag -0.473 -0.211 3.704
Ag -3.856 0.157 1.405
Ag -3.383 0.368 -2.299
Cl -4.009 -2.744 1.165
Cl -3.703 3.058 1.645
Cl -6.000 0.458 3.036
Cl -1.713 -0.144 -0.227
Cl -3.217 3.275 -2.168
Cl -4.496 -2.961 4.978
F -2.605 -0.048 3.441
F -5.107 0.362 -0.632
```


# 3
La4GaPd | GGA-PBE | relaxed

Its formation energy is -444 meV per atom. The symmetry is C2/c (15).

Geometry as extended XYZ:
```
12
Lattice="6.102 -0.242 0.000 -1.848 8.121 0.000 -2.127 -3.939 7.169" Properties=species:S:1:pos:R:3 pbc="T T T"
La -1.924 -1.572 6.112
La 2.101 2.972 4.394
La -1.127 1.693 6.112
La -0.898 5.027 4.394
La 3.025 -1.088 2.775
La 3.254 2.246 1.057
La 0.026 0.967 2.775
La 4.050 5.512 1.057
Ga 0.601 4.000 1.711
Ga 1.525 -0.061 5.458
Pd 1.525 -0.061 0.051
Pd 0.601 4.000 7.118
```


# 4
TcHg | GGA-PBE | relaxed

Its formation energy is 467 meV per atom. The symmetry is Amm2 (38).

Geometry as extended XYZ:
```
6
Lattice="1.451 -8.713 0.000 1.451 8.713 0.000 0.000 0.000 4.418" Properties=species:S:1:pos:R:3 pbc="T T T"
Tc 1.451 -3.010 0.000
Tc 1.451 -4.417 2.209
Tc 1.451 6.449 2.209
Hg 1.451 8.297 0.000
Hg 1.451 3.110 0.000
Hg 1.451 1.188 2.209
```


# 5
KAg4Pt | GGA-PBE | relaxed

Its formation energy is 179 meV per atom. The symmetry is F-43m (216).

Geometry as extended XYZ:
```
6
Lattice="0.000 3.949 3.949 3.949 0.000 3.949 3.949 3.949 0.000" Properties=species:S:1:pos:R:3 pbc="T T T"
K 5.924 5.924 5.924
Ag 2.958 4.940 4.940
Ag 4.940 4.940 2.958
Ag 4.940 2.958 4.940
Ag 2.958 2.958 2.958
Pt 0.000 0.000 0.000
```


# 6
MgTi2 | GGA-PBE | relaxed

Its formation energy is 221 meV per atom. The symmetry is P-62m (189).

Geometry as extended XYZ:
```
6
Lattice="0.391 1.493 4.896 -1.125 -4.883 -1.112 4.768 -1.087 -0.049" Properties=species:S:1:pos:R:3 pbc="T T T"
Mg -0.115 -0.632 2.893
Mg -0.620 -2.758 0.890
Ti 2.028 -2.089 -0.376
Ti 1.882 -2.861 2.562
Ti 2.508 -0.071 1.525
Ti 0.000 0.000 0.000
```


- Which formula does entry 6 have?
  MgTi2